1 | Here is a relaxed structure of LiSc3Ru from the Alexandria database. Energies are from PBE-GGA.

Geometry as CIF:
```
data_LiSc3Ru
_chemical_formula_sum 'Li1 Sc3 Ru1'
_space_group_name_H-M_alt 'P m -3 m'
_space_group_IT_number 221
_space_group_name_Hall '-P 4 2 3'
_cell_length_a 4.653
_cell_length_b 4.653
_cell_length_c 4.653
_cell_angle_alpha 90.00
_cell_angle_beta 90.00
_cell_angle_gamma 90.00
loop_
_atom_site_label
_atom_site_type_symbol
_atom_site_fract_x
_atom_site_fract_y
_atom_site_fract_z
Li1 Li 0.000 0.000 0.000
Sc1 Sc 0.000 0.000 0.500
Ru1 Ru 0.500 0.500 0.500
```

Properties
Size of the total moment (μB/cell): 0.96
DOS(E_F) (states/eV/atom): 1.29
Mass density (g/cm³): 4.003


2 | Here is a relaxed structure of LiSc3Ru from the Alexandria database. Energies are from PBE-GGA.

Geometry as CIF:
```
data_LiSc3Ru
_chemical_formula_sum 'Li1 Sc3 Ru1'
_space_group_name_H-M_alt 'P m -3 m'
_space_group_IT_number 221
_space_group_name_Hall '-P 4 2 3'
_cell_length_a 5.050
_cell_length_b 5.050
_cell_length_c 5.050
_cell_angle_alpha 90.00
_cell_angle_beta 90.00
_cell_angle_gamma 90.00
loop_
_atom_site_label
_atom_site_type_symbol
_atom_site_fract_x
_atom_site_fract_y
_atom_site_fract_z
Li1 Li 0.000 0.000 0.000
Sc1 Sc 0.000 0.500 0.500
Ru1 Ru 0.500 0.500 0.500
```

Properties
Size of the total moment (μB/cell): 0.00
DOS(E_F) (states/eV/atom): 0.92
Mass density (g/cm³): 3.132


Order of stability, best first: 2, 1


1 | Here is a relaxed structure of Li2Si2Ru from the Alexandria database. Energies are from PBE-GGA.

Geometry as CIF:
```
data_Li2Si2Ru
_chemical_formula_sum 'Li4 Si4 Ru2'
_space_group_name_H-M_alt 'P 4/m b m'
_space_group_IT_number 127
_space_group_name_Hall '-P 4 2ab'
_cell_length_a 6.304
_cell_length_b 6.304
_cell_length_c 3.423
_cell_angle_alpha 90.00
_cell_angle_beta 90.00
_cell_angle_gamma 90.00
loop_
_atom_site_label
_atom_site_type_symbol
_atom_site_fract_x
_atom_site_fract_y
_atom_site_fract_z
Li1 Li 0.166 0.334 0.000
Si1 Si 0.139 0.639 0.500
Ru1 Ru 0.000 0.000 0.500
```

Properties
Size of the total moment (μB/cell): 0.00
DOS(E_F) (states/eV/atom): 0.38
Mass density (g/cm³): 4.178


2 | Here is a relaxed structure of Li2Si2Ru from the Alexandria database. Energies are from PBE-GGA.

Geometry as CIF:
```
data_Li2Si2Ru
_chemical_formula_sum 'Li8 Si8 Ru4'
_space_group_name_H-M_alt 'P 1 21/c 1'
_space_group_IT_number 14
_cell_length_a 8.551
_cell_length_b 6.137
_cell_length_c 5.750
_cell_angle_alpha 90.00
_cell_angle_beta 90.64
_cell_angle_gamma 90.00
loop_
_space_group_symop_operation_xyz
'x,y,z'
'-x,-y,-z'
'-x,y+1/2,-z+1/2'
'x,-y+1/2,z+1/2'
loop_
_atom_site_label
_atom_site_type_symbol
_atom_site_fract_x
_atom_site_fract_y
_atom_site_fract_z
Li1 Li 0.009 0.239 0.495
Li2 Li 0.253 0.596 0.289
Si1 Si 0.190 0.028 0.238
Si2 Si 0.453 0.563 0.703
Ru1 Ru 0.376 0.214 0.511
```

Properties
Size of the total moment (μB/cell): 0.00
DOS(E_F) (states/eV/atom): 0.35
Mass density (g/cm³): 3.767


Order of stability, best first: 2, 1


1 | Here is a relaxed structure of LiSm2Ru from the Alexandria database. Energies are from PBE-GGA.

Geometry as CIF:
```
data_LiSm2Ru
_chemical_formula_sum 'Li3 Sm6 Ru3'
_space_group_name_H-M_alt 'R -3 m'
_space_group_IT_number 166
_space_group_name_Hall '-R 3 2"'
_cell_length_a 3.9732
_cell_length_b 3.9732
_cell_length_c 25.9025
_cell_angle_alpha 90.00
_cell_angle_beta 90.00
_cell_angle_gamma 120.00
loop_
_atom_site_label
_atom_site_type_symbol
_atom_site_fract_x
_atom_site_fract_y
_atom_site_fract_z
Li1 Li 0.0000 0.0000 0.0000
Sm1 Sm 0.0000 0.0000 0.2267
Ru1 Ru 0.0000 0.0000 0.5000
```

Properties
Size of the total moment (μB/cell): 0.00
DOS(E_F) (states/eV/atom): 0.68
Mass density (g/cm³): 5.750


2 | Here is a relaxed structure of LiSm2Ru from the Alexandria database. Energies are from PBE-GGA.

Geometry as CIF:
```
data_LiSm2Ru
_chemical_formula_sum 'Li4 Sm8 Ru4'
_space_group_name_H-M_alt 'F m -3 m'
_space_group_IT_number 225
_space_group_name_Hall '-F 4 2 3'
_cell_length_a 7.085
_cell_length_b 7.085
_cell_length_c 7.085
_cell_angle_alpha 90.00
_cell_angle_beta 90.00
_cell_angle_gamma 90.00
loop_
_atom_site_label
_atom_site_type_symbol
_atom_site_fract_x
_atom_site_fract_y
_atom_site_fract_z
Li1 Li 0.000 0.000 0.000
Sm1 Sm 0.250 0.250 0.250
Ru1 Ru 0.000 0.000 0.500
```

Properties
Size of the total moment (μB/cell): 0.00
DOS(E_F) (states/eV/atom): 0.59
Mass density (g/cm³): 7.634


3 | Here is a relaxed structure of LiSm2Ru from the Alexandria database. Energies are from PBE-GGA.

Geometry as CIF:
```
data_LiSm2Ru
_chemical_formula_sum 'Li1 Sm2 Ru1'
_space_group_name_H-M_alt 'P 4/m m m'
_space_group_IT_number 123
_space_group_name_Hall '-P 4 2'
_cell_length_a 3.482
_cell_length_b 3.482
_cell_length_c 8.210
_cell_angle_alpha 90.00
_cell_angle_beta 90.00
_cell_angle_gamma 90.00
loop_
_atom_site_label
_atom_site_type_symbol
_atom_site_fract_x
_atom_site_fract_y
_atom_site_fract_z
Li1 Li 0.000 0.000 0.000
Sm1 Sm 0.500 0.500 0.294
Ru1 Ru 0.000 0.000 0.500
```

Properties
Size of the total moment (μB/cell): 0.00
DOS(E_F) (states/eV/atom): 0.65
Mass density (g/cm³): 6.820


Order of stability, best first: 2, 3, 1


1 | Here is a relaxed structure of LiSmRu from the Alexandria database. Energies are from PBE-GGA.

Geometry as CIF:
```
data_LiSmRu
_chemical_formula_sum 'Li4 Sm4 Ru4'
_space_group_name_H-M_alt 'C m c m'
_space_group_IT_number 63
_space_group_name_Hall '-C 2c 2'
_cell_length_a 3.588
_cell_length_b 17.849
_cell_length_c 4.273
_cell_angle_alpha 90.00
_cell_angle_beta 90.00
_cell_angle_gamma 90.00
loop_
_atom_site_label
_atom_site_type_symbol
_atom_site_fract_x
_atom_site_fract_y
_atom_site_fract_z
Li1 Li 0.000 0.203 0.250
Sm1 Sm 0.000 0.410 0.250
Ru1 Ru 0.000 0.046 0.250
```

Properties
Size of the total moment (μB/cell): 0.00
DOS(E_F) (states/eV/atom): 1.05
Mass density (g/cm³): 6.270


2 | Here is a relaxed structure of LiSmRu from the Alexandria database. Energies are from PBE-GGA.

Geometry as CIF:
```
data_LiSmRu
_chemical_formula_sum 'Li1 Sm1 Ru1'
_space_group_name_H-M_alt 'P -6 m 2'
_space_group_IT_number 187
_space_group_name_Hall 'P -6 2'
_cell_length_a 4.3988
_cell_length_b 4.3988
_cell_length_c 3.4228
_cell_angle_alpha 90.00
_cell_angle_beta 90.00
_cell_angle_gamma 120.00
loop_
_atom_site_label
_atom_site_type_symbol
_atom_site_fract_x
_atom_site_fract_y
_atom_site_fract_z
Li1 Li 0.0000 0.0000 0.0000
Sm1 Sm 0.6667 0.3333 0.5000
Ru1 Ru 0.3333 0.6667 0.0000
```

Properties
Size of the total moment (μB/cell): 0.00
DOS(E_F) (states/eV/atom): 0.39
Mass density (g/cm³): 7.480


Order of stability, best first: 1, 2


1 | Here is a relaxed structure of LiSm3Ru from the Alexandria database. Energies are from PBE-GGA.

Geometry as CIF:
```
data_LiSm3Ru
_chemical_formula_sum 'Li1 Sm3 Ru1'
_space_group_name_H-M_alt 'P m -3 m'
_space_group_IT_number 221
_space_group_name_Hall '-P 4 2 3'
_cell_length_a 5.473
_cell_length_b 5.473
_cell_length_c 5.473
_cell_angle_alpha 90.00
_cell_angle_beta 90.00
_cell_angle_gamma 90.00
loop_
_atom_site_label
_atom_site_type_symbol
_atom_site_fract_x
_atom_site_fract_y
_atom_site_fract_z
Li1 Li 0.000 0.000 0.000
Sm1 Sm 0.000 0.500 0.500
Ru1 Ru 0.500 0.500 0.500
```

Properties
Size of the total moment (μB/cell): 0.00
DOS(E_F) (states/eV/atom): 0.92
Mass density (g/cm³): 5.662


2 | Here is a relaxed structure of LiSm3Ru from the Alexandria database. Energies are from PBE-GGA.

Geometry as CIF:
```
data_LiSm3Ru
_chemical_formula_sum 'Li4 Sm12 Ru4'
_space_group_name_H-M_alt 'C m m 2'
_space_group_IT_number 35
_cell_length_a 10.437
_cell_length_b 15.026
_cell_length_c 3.947
_cell_angle_alpha 90.00
_cell_angle_beta 90.00
_cell_angle_gamma 90.00
loop_
_space_group_symop_operation_xyz
'x,y,z'
'-x,-y,z'
'-x,y,z'
'x,-y,z'
'x+1/2,y+1/2,z'
'-x+1/2,-y+1/2,z'
'-x+1/2,y+1/2,z'
'x+1/2,-y+1/2,z'
loop_
_atom_site_label
_atom_site_type_symbol
_atom_site_fract_x
_atom_site_fract_y
_atom_site_fract_z
Li1 Li 0.000 0.000 0.000
Li2 Li 0.000 0.500 0.499
Sm1 Sm 0.000 0.192 0.499
Sm2 Sm 0.194 0.371 0.999
Ru1 Ru 0.250 0.250 0.499
```

Properties
Size of the total moment (μB/cell): 0.00
DOS(E_F) (states/eV/atom): 0.68
Mass density (g/cm³): 5.999


Order of stability, best first: 2, 1


1 | Here is a relaxed structure of LiSn3Ru from the Alexandria database. Energies are from PBE-GGA.

Geometry as CIF:
```
data_LiSn3Ru
_chemical_formula_sum 'Li1 Sn3 Ru1'
_space_group_name_H-M_alt 'P m -3 m'
_space_group_IT_number 221
_space_group_name_Hall '-P 4 2 3'
_cell_length_a 5.191
_cell_length_b 5.191
_cell_length_c 5.191
_cell_angle_alpha 90.00
_cell_angle_beta 90.00
_cell_angle_gamma 90.00
loop_
_atom_site_label
_atom_site_type_symbol
_atom_site_fract_x
_atom_site_fract_y
_atom_site_fract_z
Li1 Li 0.000 0.000 0.000
Sn1 Sn 0.000 0.500 0.500
Ru1 Ru 0.500 0.500 0.500
```

Properties
Size of the total moment (μB/cell): 0.00
DOS(E_F) (states/eV/atom): 1.59
Mass density (g/cm³): 5.509


2 | Here is a relaxed structure of LiSn3Ru from the Alexandria database. Energies are from PBE-GGA.

Geometry as CIF:
```
data_LiSn3Ru
_chemical_formula_sum 'Li1 Sn3 Ru1'
_space_group_name_H-M_alt 'P m -3 m'
_space_group_IT_number 221
_space_group_name_Hall '-P 4 2 3'
_cell_length_a 4.810
_cell_length_b 4.810
_cell_length_c 4.810
_cell_angle_alpha 90.00
_cell_angle_beta 90.00
_cell_angle_gamma 90.00
loop_
_atom_site_label
_atom_site_type_symbol
_atom_site_fract_x
_atom_site_fract_y
_atom_site_fract_z
Li1 Li 0.000 0.000 0.000
Sn1 Sn 0.000 0.000 0.500
Ru1 Ru 0.500 0.500 0.500
```

Properties
Size of the total moment (μB/cell): 1.42
DOS(E_F) (states/eV/atom): 0.98
Mass density (g/cm³): 6.925


Order of stability, best first: 1, 2